Compound: GaSiAgO4
Source: Alexandria via LeMat-Bulk
Functional: PBE
Structure: relaxed Values from VASP.

Output
Symmetry ... I-4, No. 82
Total moment ... 0.00 μB per formula unit
Uncorrected formation energy ... -1.869 eV/atom

Quantum ESPRESSO input file:
```
&SYSTEM
  ibrav = 0, nat = 7, ntyp = 4
/
ATOMIC_SPECIES
Ga 69.72 Ga.upf
Si 28.09 Si.upf
Ag 107.87 Ag.upf
O 16.00 O.upf
CELL_PARAMETERS angstrom
5.1251 0.0000 0.0000
0.0000 5.1251 0.0000
-2.5625 -2.5625 3.8645
ATOMIC_POSITIONS angstrom
Ga 2.5625 2.5625 0.0000
Si 0.0000 2.5625 1.9322
Ag 0.0000 0.0000 0.0000
O -0.6954 -1.3871 2.8515
O 1.1755 3.2580 1.0130
O 0.6954 1.3871 2.8515
O 3.9496 1.8671 1.0130
```